## Li5Tl4 (GGA-PBE)

Data for crystalline Li5Tl4 at its relaxed geometry.

It has space group C2/m (No. 12), with a = 10.713 Å, b = 4.747 Å, c = 9.025 Å, α = 90.00°, β = 123.64° and γ = 90.00°. The asymmetric unit holds Li at (0.000, 0.000, 0.000), Li at (0.166, 0.500, 0.885), Li at (0.168, 0.500, 0.552), Tl at (0.005, 0.000, 0.326) and Tl at (0.166, 0.500, 0.211).

The raw total energy comes out at -41.5 eV/cell. For the theoretical density, the calculation gives 7.408 g/cm³. The calculation puts the energy above the lowest structure with this stoichiometry at 0 meV per atom.